{
  "formula": "ScTaFe2",
  "functional": "SCAN",
  "state": "single point on PBEsol structure",
  "cell": [[6.049, 0.000, 0.000], [0.000, 6.049, 0.000], [0.000, 0.000, 6.049]],
  "species": ["Sc", "Sc", "Sc", "Sc", "Ta", "Ta", "Ta", "Ta", "Fe", "Fe", "Fe", "Fe", "Fe", "Fe", "Fe", "Fe"],
  "fractional_positions": [[0.000, 0.000, 0.000], [0.000, 0.500, 0.500], [0.500, 0.000, 0.500], [0.500, 0.500, 0.000], [0.000, 0.000, 0.500], [0.000, 0.500, 0.000], [0.500, 0.000, 0.000], [0.500, 0.500, 0.500], [0.250, 0.250, 0.250], [0.250, 0.250, 0.750], [0.250, 0.750, 0.250], [0.250, 0.750, 0.750], [0.750, 0.250, 0.250], [0.750, 0.250, 0.750], [0.750, 0.750, 0.250], [0.750, 0.750, 0.750]],
  "relative_energy_mev_per_atom": 24,
  "formation_enthalpy_0k_ev_per_atom": -0.131,
  "dft_energy_ev_per_atom": -29.40
}